{"formula": "FeTcMo2", "functional": "PBE", "state": "optimized geometry", "cell": [[-2.494, -1.753, -3.116], [-2.860, -3.133, 1.003], [-4.276, 0.840, -0.099]], "species": ["Mo", "Mo", "Fe", "Tc"], "fractional_positions": [[0.250, 0.250, 0.250], [0.000, 0.000, 0.000], [0.500, 0.500, 0.500], [0.750, 0.750, 0.750]], "dos_ef_per_ev_cell": 3.93, "volume_a3_per_cell": 58.57, "e_form_ev_per_atom": 0.126}

{"formula": "Fe2TcMo", "functional": "PBE", "state": "optimized geometry", "cell": [[-0.659, -0.506, 4.163], [1.720, -1.936, 0.037], [4.125, 2.632, 0.973]], "species": ["Tc", "Fe", "Fe", "Mo"], "fractional_positions": [[0.500, 0.735, 0.760], [0.500, 0.232, 0.240], [0.000, 0.023, 0.008], [0.000, 0.510, 0.492]], "dos_ef_per_ev_cell": 3.22, "volume_a3_per_cell": 54.18, "e_form_ev_per_atom": 0.079}

{"formula": "Fe2TcMo", "functional": "PBE", "state": "optimized geometry", "cell": [[-0.484, -1.875, -4.574], [3.874, -1.541, 2.700], [-0.891, -2.348, 0.641]], "species": ["Fe", "Tc", "Fe", "Mo"], "fractional_positions": [[0.000, 0.000, 0.000], [0.000, 0.500, 0.500], [0.500, 0.500, 0.000], [0.500, 0.000, 0.500]], "dos_ef_per_ev_cell": 3.57, "volume_a3_per_cell": 54.45, "e_form_ev_per_atom": 0.120}

{"formula": "Fe2TcMo", "functional": "PBE", "state": "optimized geometry", "cell": [[3.049, 0.000, 0.000], [0.000, 3.049, 0.000], [0.000, 0.000, 5.840]], "species": ["Fe", "Tc", "Fe", "Mo"], "fractional_positions": [[0.000, 0.000, 0.015], [0.500, 0.500, 0.754], [0.500, 0.500, 0.236], [0.000, 0.000, 0.495]], "dos_ef_per_ev_cell": 3.24, "volume_a3_per_cell": 54.28, "e_form_ev_per_atom": 0.070}

{"formula": "Fe3TcMo", "functional": "PBE", "state": "optimized geometry", "cell": [[4.334, 0.000, 0.000], [0.000, 4.334, 0.000], [0.000, 0.000, 4.334]], "species": ["Fe", "Mo", "Tc", "Fe", "Fe"], "fractional_positions": [[0.000, 0.500, 0.000], [0.500, 0.500, 0.500], [0.000, 0.000, 0.000], [0.500, 0.000, 0.000], [0.000, 0.000, 0.500]], "dos_ef_per_ev_cell": 6.08, "volume_a3_per_cell": 81.38, "e_form_ev_per_atom": 1.637}

{"formula": "Fe2Tc2Mo", "functional": "PBE", "state": "optimized geometry", "cell": [[7.056, 0.000, 0.000], [0.000, 7.056, 0.000], [0.000, 0.000, 2.679]], "species": ["Fe", "Mo", "Tc", "Fe", "Tc", "Tc", "Fe", "Fe", "Tc", "Mo"], "fractional_positions": [[0.122, 0.378, 0.000], [0.000, 0.000, 0.000], [0.172, 0.672, 0.500], [0.878, 0.622, 0.000], [0.328, 0.172, 0.500], [0.672, 0.828, 0.500], [0.378, 0.878, 0.000], [0.622, 0.122, 0.000], [0.828, 0.328, 0.500], [0.500, 0.500, 0.000]], "dos_ef_per_ev_cell": 12.42, "volume_a3_per_cell": 133.37, "e_form_ev_per_atom": 0.145}

{"formula": "FeTc2Mo", "functional": "PBE", "state": "optimized geometry", "cell": [[-0.315, 2.326, -4.037], [2.002, -2.577, -3.340], [-3.244, -1.081, 3.181]], "species": ["Tc", "Tc", "Fe", "Mo"], "fractional_positions": [[0.500, 0.500, 0.000], [0.000, 0.000, 0.000], [0.250, 0.750, 0.500], [0.750, 0.250, 0.500]], "dos_ef_per_ev_cell": 4.35, "volume_a3_per_cell": 56.58, "e_form_ev_per_atom": 0.140}

{"formula": "FeTcMo2", "functional": "PBE", "state": "optimized geometry", "cell": [[-0.854, -3.873, -3.185], [3.037, -0.311, -4.069], [-0.087, 0.088, 5.085]], "species": ["Mo", "Fe", "Mo", "Tc"], "fractional_positions": [[0.752, 0.252, 0.500], [0.247, 0.747, 0.500], [0.998, 0.998, 0.000], [0.503, 0.503, 0.000]], "dos_ef_per_ev_cell": 3.88, "volume_a3_per_cell": 58.71, "e_form_ev_per_atom": 0.125}

{"formula": "FeTcMo2", "functional": "PBE", "state": "optimized geometry", "cell": [[-1.646, -0.950, 1.957], [1.116, -2.475, -0.262], [5.236, 1.802, 5.282]], "species": ["Mo", "Fe", "Mo", "Tc"], "fractional_positions": [[0.000, 0.000, 0.521], [0.500, 0.500, 0.750], [0.000, 0.000, 0.979], [0.500, 0.500, 0.250]], "dos_ef_per_ev_cell": 4.98, "volume_a3_per_cell": 56.95, "e_form_ev_per_atom": 0.187}

{"formula": "Fe2TcMo", "functional": "PBE", "state": "optimized geometry", "cell": [[4.237, 0.000, 0.000], [0.000, 2.593, -0.003], [0.000, 1.111, 4.957]], "species": ["Fe", "Tc", "Fe", "Mo"], "fractional_positions": [[0.000, 0.498, 0.502], [0.500, 0.750, 0.750], [0.000, 0.002, 0.998], [0.500, 0.250, 0.250]], "dos_ef_per_ev_cell": 3.40, "volume_a3_per_cell": 54.48, "e_form_ev_per_atom": 0.117}

{"formula": "Fe2TcMo", "functional": "PBE", "state": "optimized geometry", "cell": [[4.582, -0.100, 0.000], [1.561, 4.309, 0.000], [-3.071, -2.105, 2.672]], "species": ["Tc", "Fe", "Fe", "Mo"], "fractional_positions": [[0.750, 0.250, 0.500], [0.000, 0.000, 0.000], [0.250, 0.750, 0.500], [0.500, 0.500, 0.000]], "dos_ef_per_ev_cell": 4.14, "volume_a3_per_cell": 53.18, "e_form_ev_per_atom": 0.122}

{"formula": "FeTc2Mo", "functional": "PBE", "state": "optimized geometry", "cell": [[-3.083, -3.428, 0.827], [-0.699, -4.625, 0.258], [0.768, -0.653, 4.590]], "species": ["Mo", "Tc", "Tc", "Fe"], "fractional_positions": [[0.755, 0.755, 0.738], [0.244, 0.244, 0.253], [0.997, 0.997, 0.011], [0.503, 0.503, 0.498]], "dos_ef_per_ev_cell": 4.37, "volume_a3_per_cell": 56.56, "e_form_ev_per_atom": 0.162}

What did the twelfth record say?
{"formula": "FeTc2Mo", "functional": "PBE", "state": "optimized geometry", "cell": [[-3.083, -3.428, 0.827], [-0.699, -4.625, 0.258], [0.768, -0.653, 4.590]], "species": ["Mo", "Tc", "Tc", "Fe"], "fractional_positions": [[0.755, 0.755, 0.738], [0.244, 0.244, 0.253], [0.997, 0.997, 0.011], [0.503, 0.503, 0.498]], "dos_ef_per_ev_cell": 4.37, "volume_a3_per_cell": 56.56, "e_form_ev_per_atom": 0.162}

Number 1 is which compound? FeTcMo2